1.
Computed, not measured: a geometry-optimized Ho3In2Ag4 structure at the PBE level of DFT.

Structure (POSCAR):
```
Ho3In2Ag4
1.0
4.835 0.000 0.000
-2.418 5.358 -0.754
0.000 -3.360 8.405
Ag In Ho
4 2 3
Cartesian
2.418 2.186 0.126
0.000 -0.653 3.246
0.000 -0.188 7.525
2.418 2.652 4.406
0.000 1.651 5.405
2.418 0.348 2.246
2.418 -0.548 5.436
0.000 0.000 0.000
0.000 2.546 2.215
```

Properties
Total magnetization: 0.0 μB per formula unit
Density of states at the Fermi level: 0.602 states/eV per atom
DFT formation energy: -0.333 eV/atom

2.
Computed, not measured: a geometry-optimized Ho2InAg structure at the PBE level of DFT.

Structure (POSCAR):
```
Ho2InAg
1.0
-2.731 -0.543 2.396
-1.075 -3.416 0.817
4.872 -1.593 8.008
Ho In Ag
2 1 1
Cartesian
0.198 -1.385 2.728
0.869 -4.167 8.492
0.533 -2.776 5.610
0.000 0.000 0.000
```

Properties
Total magnetization: 0.0 μB per formula unit
Density of states at the Fermi level: 1.266 states/eV per atom
DFT formation energy: -0.179 eV/atom

3.
Computed, not measured: a geometry-optimized Ho4InAg3 structure at the PBE level of DFT.

Structure (POSCAR):
```
Ho4InAg3
1.0
-2.272 2.739 3.744
0.935 -1.125 4.954
6.061 5.938 2.897
Ho Ag In
4 3 1
Cartesian
4.731 5.742 5.797
1.163 3.689 8.697
3.561 3.863 2.898
-0.007 1.810 5.798
1.113 1.832 2.899
2.362 3.776 5.798
3.611 5.721 8.696
0.000 0.000 0.000
```

Properties
Total magnetization: 0.0 μB per formula unit
Density of states at the Fermi level: 0.654 states/eV per atom
DFT formation energy: -0.359 eV/atom

4.
Computed, not measured: a geometry-optimized Ho4InAg2 structure at the PBE level of DFT.

Structure (POSCAR):
```
Ho4InAg2
1.0
-4.941 0.491 0.198
-2.928 -3.637 -1.702
-2.674 -4.998 8.024
Ag In Ho
2 1 4
Cartesian
-7.885 -4.334 1.060
-2.659 -3.810 5.460
0.000 0.000 0.000
-5.290 -5.503 6.348
-5.253 -2.641 0.172
-7.901 -5.578 3.746
-2.643 -2.566 2.774
```

Properties
Total magnetization: 0.0 μB per formula unit
Density of states at the Fermi level: 1.366 states/eV per atom
DFT formation energy: -0.069 eV/atom

5.
Computed, not measured: a geometry-optimized HoIn2Ag structure at the PBE level of DFT.

Structure (POSCAR):
```
HoIn2Ag
1.0
-3.190 2.728 1.146
0.194 -1.598 4.343
3.144 3.235 1.050
In Ag Ho
2 1 1
Cartesian
1.572 1.618 0.525
0.097 -0.799 2.172
-1.595 1.364 0.573
0.074 2.183 3.269
```

Properties
Total magnetization: 0.0 μB per formula unit
Density of states at the Fermi level: 0.404 states/eV per atom
DFT formation energy: -0.328 eV/atom

6.
Computed, not measured: a geometry-optimized Ho2InAg3 structure at the PBE level of DFT.

Structure (POSCAR):
```
Ho2InAg3
1.0
3.614 0.000 -0.962
-0.308 4.074 -1.158
0.607 0.546 9.548
Ho Ag In
2 3 1
Cartesian
3.462 1.893 5.738
0.571 0.653 2.144
1.873 2.289 -0.233
2.545 3.057 2.292
1.217 3.604 4.571
1.914 4.402 7.192
```

Properties
Total magnetization: 0.0 μB per formula unit
Density of states at the Fermi level: 0.494 states/eV per atom
DFT formation energy: -0.194 eV/atom

7.
Computed, not measured: a geometry-optimized HoIn2Ag3 structure at the PBE level of DFT.

Structure (POSCAR):
```
HoIn2Ag3
1.0
4.456 0.000 -1.217
-0.412 6.528 -1.508
0.066 -0.144 9.011
In Ag Ho
4 6 2
Cartesian
3.312 2.146 3.363
1.977 5.212 -1.527
2.133 1.172 7.814
0.798 4.237 2.924
2.741 5.947 1.271
2.622 3.138 0.833
1.489 3.246 5.454
1.370 0.437 5.016
0.058 4.290 0.214
4.052 2.093 6.073
0.471 0.978 1.724
3.640 5.405 4.563
```

Properties
Total magnetization: 0.0 μB per formula unit
Density of states at the Fermi level: 0.357 states/eV per atom
DFT formation energy: -0.207 eV/atom

8.
Computed, not measured: a geometry-optimized HoIn2Ag structure at the PBE level of DFT.

Structure (POSCAR):
```
HoIn2Ag
1.0
4.522 0.000 -1.254
-0.348 4.508 -1.254
0.077 0.083 9.056
Ag In Ho
2 4 2
Cartesian
3.343 1.169 3.274
0.908 3.423 3.274
2.261 0.000 -0.627
1.538 1.661 5.544
-0.174 2.254 -0.627
2.713 2.931 1.004
0.564 0.609 2.032
3.687 3.983 4.516
```

Properties
Total magnetization: 0.0 μB per formula unit
Density of states at the Fermi level: 0.330 states/eV per atom
DFT formation energy: -0.369 eV/atom

9.
Computed, not measured: a geometry-optimized Ho3In4Ag2 structure at the PBE level of DFT.

Structure (POSCAR):
```
Ho3In4Ag2
1.0
-3.365 1.300 3.277
-5.261 -2.862 -0.644
0.098 -5.987 6.099
In Ag Ho
4 2 3
Cartesian
-1.587 -4.501 3.779
-6.941 -3.048 4.952
-5.575 -6.308 7.649
-2.954 -1.240 1.083
-2.304 -3.732 6.362
-6.224 -3.817 2.370
-3.905 -2.094 4.068
0.000 0.000 0.000
-4.623 -5.455 4.664
```

Properties
Total magnetization: 0.0 μB per formula unit
Density of states at the Fermi level: 0.484 states/eV per atom
DFT formation energy: -0.408 eV/atom

10.
Computed, not measured: a geometry-optimized Ho3In2Ag2 structure at the PBE level of DFT.

Structure (POSCAR):
```
Ho3In2Ag2
1.0
-0.488 -4.535 0.064
3.391 -0.357 0.570
-2.003 -1.928 10.699
Ho Ag In
3 2 2
Cartesian
0.000 0.000 0.000
-1.052 -4.426 3.486
-1.439 -2.037 7.277
0.200 -4.519 6.455
0.699 -2.301 4.878
1.179 -2.393 1.966
-0.280 -4.426 9.366
```

Properties
Total magnetization: 0.0 μB per formula unit
Density of states at the Fermi level: 0.778 states/eV per atom
DFT formation energy: -0.379 eV/atom

11.
Computed, not measured: a geometry-optimized Ho2In2Ag structure at the PBE level of DFT.

Structure (POSCAR):
```
Ho2In2Ag
1.0
4.765 0.000 0.000
2.383 5.517 -0.604
2.383 -0.239 9.708
In Ho Ag
4 4 2
Cartesian
7.148 4.236 7.989
7.148 3.706 3.585
2.383 1.042 1.115
2.383 1.572 5.519
4.765 3.800 5.940
2.383 4.129 0.432
4.765 1.478 3.164
7.148 1.149 8.672
4.765 4.836 2.759
4.765 0.443 6.345
```

Properties
Total magnetization: 0.0 μB per formula unit
Density of states at the Fermi level: 0.601 states/eV per atom
DFT formation energy: -0.384 eV/atom

12.
Computed, not measured: a geometry-optimized Ho4InAg2 structure at the PBE level of DFT.

Structure (POSCAR):
```
Ho4InAg2
1.0
4.901 0.000 1.531
2.212 4.374 1.531
-0.020 -0.012 8.674
Ho Ag In
4 2 1
Cartesian
6.173 3.796 6.072
2.724 1.675 8.501
0.920 0.566 5.664
4.369 2.687 3.236
1.813 1.115 2.808
5.281 3.247 8.928
0.000 0.000 0.000
```

Properties
Total magnetization: 0.0 μB per formula unit
Density of states at the Fermi level: 1.003 states/eV per atom
DFT formation energy: -0.208 eV/atom

13.
Computed, not measured: a geometry-optimized Ho2In3Ag4 structure at the PBE level of DFT.

Structure (POSCAR):
```
Ho2In3Ag4
1.0
4.953 0.001 0.001
2.476 4.287 0.159
-0.002 -0.341 9.260
Ag In Ho
4 3 2
Cartesian
2.476 1.391 1.012
2.476 4.172 3.277
4.952 -0.224 6.144
4.952 2.556 8.409
4.952 2.663 5.436
0.000 0.000 0.000
2.476 1.284 3.985
2.475 1.164 7.308
4.952 2.783 2.113
```

Properties
Total magnetization: 0.0 μB per formula unit
Density of states at the Fermi level: 0.279 states/eV per atom
DFT formation energy: -0.274 eV/atom

14.
Computed, not measured: a geometry-optimized Ho6In5Ag structure at the PBE level of DFT.

Structure (POSCAR):
```
Ho6In5Ag
1.0
5.024 -0.030 1.674
0.040 7.386 0.013
-0.002 -0.015 8.381
In Ho Ag
5 6 1
Cartesian
1.687 -0.015 3.311
3.334 -0.030 6.744
1.689 3.678 3.371
3.371 3.663 6.698
0.020 3.693 0.007
0.854 5.547 5.911
2.542 5.556 0.847
2.522 1.800 0.840
4.207 1.793 4.158
4.227 5.532 4.165
0.834 1.808 5.904
0.000 0.000 0.000
```

Properties
Total magnetization: 0.0 μB per formula unit
Density of states at the Fermi level: 0.814 states/eV per atom
DFT formation energy: -0.433 eV/atom

15.
Computed, not measured: a geometry-optimized Ho2In8Ag structure at the PBE level of DFT.

Structure (POSCAR):
```
Ho2In8Ag
1.0
-1.397 4.477 0.622
-2.558 -1.320 3.754
9.652 1.999 7.280
Ag In Ho
1 8 2
Cartesian
0.000 0.000 0.000
7.666 3.971 6.620
0.589 2.505 1.282
0.008 -0.393 2.848
1.042 2.204 4.466
3.547 0.340 5.517
4.128 3.238 3.951
7.085 1.073 8.186
4.655 2.952 7.191
6.630 1.373 5.000
3.022 0.626 2.279
```

Properties
Total magnetization: 0.0 μB per formula unit
Density of states at the Fermi level: 0.436 states/eV per atom
DFT formation energy: -0.268 eV/atom

16.
Computed, not measured: a geometry-optimized Ho6InAg structure at the PBE level of DFT.

Structure (POSCAR):
```
Ho6InAg
1.0
6.044 7.306 1.774
-0.134 9.606 -0.871
-4.260 -8.176 2.839
Ho Ag In
6 1 1
Cartesian
3.187 6.132 2.658
1.480 4.235 0.226
0.098 7.282 1.335
4.430 12.677 0.677
-1.537 2.604 1.085
1.552 1.454 2.408
0.000 0.000 0.000
2.955 8.456 0.452
```

Properties
Total magnetization: 0.0 μB per formula unit
Density of states at the Fermi level: 1.007 states/eV per atom
DFT formation energy: -0.175 eV/atom

17.
Computed, not measured: a geometry-optimized HoIn2Ag structure at the PBE level of DFT.

Structure (POSCAR):
```
HoIn2Ag
1.0
4.749 0.000 0.000
0.000 10.045 0.000
-2.374 -5.022 8.381
In Ag Ho
8 4 4
Cartesian
2.374 1.497 3.148
0.000 0.000 1.416
2.374 -1.497 3.148
2.374 5.022 6.965
2.374 0.000 7.018
0.000 5.022 1.363
0.000 3.526 5.233
0.000 6.519 5.233
0.000 7.437 2.469
2.374 -2.415 5.912
0.000 2.608 2.469
2.374 2.415 5.912
2.374 6.928 0.000
2.374 3.116 0.000
2.374 5.022 3.461
0.000 0.000 4.920
```

Properties
Total magnetization: 0.0 μB per formula unit
Density of states at the Fermi level: 0.413 states/eV per atom
DFT formation energy: -0.242 eV/atom

18.
Computed, not measured: a geometry-optimized Ho4InAg5 structure at the PBE level of DFT.

Structure (POSCAR):
```
Ho4InAg5
1.0
-0.918 3.494 -0.372
-3.427 -0.975 -0.702
-3.760 0.841 17.186
Ag In Ho
5 1 4
Cartesian
-3.274 1.506 4.499
-4.830 1.854 11.613
-4.052 1.680 8.056
-5.572 2.020 15.004
-2.532 1.340 1.109
0.000 0.000 0.000
-1.490 0.333 6.812
-0.719 0.161 3.285
-2.270 0.508 10.374
-3.041 0.680 13.901
```

Properties
Total magnetization: 0.0 μB per formula unit
Density of states at the Fermi level: 0.683 states/eV per atom
DFT formation energy: -0.276 eV/atom

19.
Computed, not measured: a geometry-optimized Ho6InAg2 structure at the PBE level of DFT.

Structure (POSCAR):
```
Ho6InAg2
1.0
8.641 0.179 -0.050
-3.108 8.065 0.050
-2.999 -3.966 7.069
Ho Ag In
12 4 2
Cartesian
5.050 5.300 1.280
-0.339 0.227 3.158
-0.008 2.715 5.789
6.009 1.946 0.255
5.120 -0.814 2.244
2.541 1.563 1.280
2.949 0.643 4.775
-3.475 2.332 6.815
-0.415 3.635 2.294
-2.586 5.092 4.826
-2.516 -1.022 5.789
2.873 4.051 3.911
1.953 4.668 0.949
3.643 -2.445 4.533
1.998 -1.341 2.486
0.581 -0.390 6.120
0.000 0.000 0.000
-3.053 2.049 3.560
```

Properties
Total magnetization: 0.0 μB per formula unit
Density of states at the Fermi level: 0.983 states/eV per atom
DFT formation energy: -0.223 eV/atom

20.
Computed, not measured: a geometry-optimized Ho3In3Ag structure at the PBE level of DFT.

Structure (POSCAR):
```
Ho3In3Ag
1.0
4.583 0.000 0.690
2.254 5.599 0.593
0.179 0.164 14.366
Ho Ag In
6 2 6
Cartesian
2.624 1.709 13.696
3.750 3.905 6.224
4.393 4.054 1.953
5.210 4.421 12.086
1.807 1.342 3.564
3.267 1.858 9.426
3.767 0.594 6.108
3.250 5.169 9.541
1.322 1.619 6.783
0.660 1.265 11.174
6.357 4.498 4.475
5.695 4.144 8.866
2.598 4.831 13.867
4.419 0.932 1.782
```

Properties
Total magnetization: 0.0 μB per formula unit
Density of states at the Fermi level: 0.630 states/eV per atom
DFT formation energy: -0.390 eV/atom